Entry from the Alexandria database: a geometry-optimized Ti2SnSb2 structure (PBE).

abc: 4.898 4.935 5.539
angles: 89.55 89.82 60.43
Space group P-1 (No. 2)
Inequivalent atoms, fractional coordinates:
Ti 0.167 0.164 0.109 x2
Sn 0.500 0.500 0.000 x1
Sb 0.166 0.169 0.623 x2

Uncorrected energy, eV/atom: -5.804
Uncorrected formation energy, kJ/mol of formula units: -95
Offset from the most stable computed form, meV per atom: 93
Total magnetization, μB/atom: 0.000
Mass density, g cm⁻³: 6.531

=====

Entry from the Alexandria database: a geometry-optimized Ti4SnSb3 structure (PBE).

abc: 9.762 8.086 5.465
angles: 90.00 90.00 90.00
Space group Pmn2_1 (No. 31)
Inequivalent atoms, fractional coordinates:
Ti 0.000 0.167 0.000 x2
Ti 0.000 0.825 0.499 x2
Ti 0.246 0.333 0.500 x4
Sn 0.000 0.821 0.999 x2
Sb 0.000 0.163 0.500 x2
Sb 0.249 0.326 0.000 x4

Uncorrected energy, eV/atom: -6.017
Uncorrected formation energy, kJ/mol of formula units: -18
Total magnetization, μB/atom: 0.053
Mass density, g cm⁻³: 5.200

=====

Entry from the Alexandria database: a geometry-optimized Ti2SnSb structure (PBE).

abc: 4.392 5.703 6.694
angles: 90.00 90.00 90.00
Space group Pmc2_1 (No. 26)
Inequivalent atoms, fractional coordinates:
Ti 0.000 0.096 0.000 x2
Ti 0.500 0.399 0.947 x2
Sn 0.000 0.399 0.655 x2
Sb 0.500 0.119 0.301 x2

Uncorrected energy, eV/atom: -6.220
Uncorrected formation energy, kJ/mol of formula units: -93
Total magnetization, μB/atom: 0.386
Mass density, g cm⁻³: 6.659